[1]
First-principles (PBE) data for an optimized crystal structure of BaCo2GeP, as listed in OQMD via LeMat-Bulk.

The structure in POSCAR format:
```
BaCo2GeP
1.0
-1.925 1.925 6.402
1.925 -1.925 6.402
1.925 1.925 -6.402
Ba Co Ge P
1 2 1 1
Cartesian
0.000 0.000 12.708
0.000 1.925 3.297
1.925 0.000 3.297
0.000 0.000 8.355
0.000 0.000 4.355
```

The value obtained for the energy is -29.3 eV for the cell shown.

=====

[2]
First-principles (PBE) data for an optimized crystal structure of Ba2CoGeS6, as listed in OQMD via LeMat-Bulk.

The structure in POSCAR format:
```
Ba2CoGeS6
1.0
-3.392 4.797 3.392
3.392 -4.797 3.392
3.392 4.797 -3.392
Ba Co Ge S
2 1 1 6
Cartesian
0.000 2.399 3.392
3.392 2.399 0.000
0.000 0.000 0.000
0.000 4.797 0.000
-1.753 4.797 1.753
0.000 2.318 0.000
1.639 0.000 1.639
1.753 4.797 -1.753
0.000 7.276 0.000
1.753 4.797 1.753
```

The value obtained for the energy is -48.1 eV for the cell shown.

=====

[3]
First-principles (PBE) data for an optimized crystal structure of BaZnCoGe2, as listed in OQMD via LeMat-Bulk.

The structure in POSCAR format:
```
BaZnCoGe2
1.0
0.085 3.767 5.506
-5.027 0.942 4.285
3.389 -4.704 -3.302
Ba Co Ge Zn
1 1 2 1
Cartesian
0.000 0.000 0.000
0.502 0.709 3.550
-1.761 1.678 3.489
-3.181 3.031 6.302
-2.054 -0.704 2.939
```

The value obtained for the energy is -20.8 eV for the cell shown.

=====

[4]
First-principles (PBE) data for an optimized crystal structure of Ba2CoHgH6, as listed in OQMD via LeMat-Bulk.

The structure in POSCAR format:
```
Ba2CoHgH6
1.0
0.000 4.078 4.078
4.078 0.000 4.078
4.078 4.078 0.000
Ba Co H Hg
2 1 6 1
Cartesian
2.039 2.039 2.039
6.117 6.117 6.117
0.000 0.000 0.000
1.597 4.078 4.078
4.078 1.597 4.078
4.078 4.078 6.559
4.078 4.078 1.597
4.078 6.559 4.078
6.559 4.078 4.078
4.078 4.078 4.078
```

The value obtained for the energy is -34.9 eV for the cell shown.

=====

[5]
First-principles (PBE) data for an optimized crystal structure of Ba2LiCoH6, as listed in OQMD via LeMat-Bulk.

The structure in POSCAR format:
```
Ba2LiCoH6
1.0
0.000 3.927 3.927
3.927 0.000 3.927
3.927 3.927 0.000
Ba Co H Li
2 1 6 1
Cartesian
1.964 1.964 1.964
5.891 5.891 5.891
0.000 0.000 0.000
1.789 3.927 3.927
3.927 1.789 3.927
3.927 3.927 6.066
3.927 3.927 1.789
3.927 6.066 3.927
6.066 3.927 3.927
3.927 3.927 3.927
```

The value obtained for the energy is -37.0 eV for the cell shown.

=====

[6]
First-principles (PBE) data for an optimized crystal structure of BaNa2CoH6, as listed in OQMD via LeMat-Bulk.

The structure in POSCAR format:
```
BaNa2CoH6
1.0
0.000 3.979 3.979
3.979 0.000 3.979
3.979 3.979 0.000
Ba Co H Na
1 1 6 2
Cartesian
0.000 0.000 0.000
3.979 3.979 3.979
2.439 3.979 3.979
3.979 2.439 3.979
3.979 3.979 5.518
3.979 3.979 2.439
3.979 5.518 3.979
5.518 3.979 3.979
1.989 1.989 1.989
5.968 5.968 5.968
```

The value obtained for the energy is -32.5 eV for the cell shown.

=====

[7]
First-principles (PBE) data for an optimized crystal structure of BaHf2Co, as listed in OQMD via LeMat-Bulk.

The structure in POSCAR format:
```
BaHf2Co
1.0
3.418 -3.714 0.326
-0.965 -4.513 -2.069
2.524 -1.483 -4.124
Ba Co Hf
1 1 2
Cartesian
2.488 -4.855 -2.934
1.244 -2.427 -1.467
0.000 0.000 0.000
3.733 -7.282 -4.401
```

The value obtained for the energy is -25.2 eV for the cell shown.

=====

[8]
First-principles (PBE) data for an optimized crystal structure of BaHfCo, as listed in OQMD via LeMat-Bulk.

The structure in POSCAR format:
```
BaHfCo
1.0
3.424 -2.052 -2.663
2.703 -3.505 1.853
-0.539 -4.513 -1.539
Ba Co Hf
1 1 1
Cartesian
1.397 -2.518 -0.587
0.000 0.000 0.000
4.191 -7.553 -1.762
```

The relative energy among the computed polymorphs comes out at 0.000 eV per atom.

=====

[9]
First-principles (PBE) data for an optimized crystal structure of BaHfCo, as listed in OQMD via LeMat-Bulk.

The structure in POSCAR format:
```
BaHfCo
1.0
0.000 3.346 3.346
3.346 0.000 3.346
3.346 3.346 0.000
Ba Co Hf
1 1 1
Cartesian
0.000 0.000 0.000
1.673 1.673 1.673
5.019 5.019 5.019
```

The relative energy among the computed polymorphs comes out at 0.943 eV per atom.

=====

[10]
First-principles (PBE) data for an optimized crystal structure of BaCoHg, as listed in OQMD via LeMat-Bulk.

The structure in POSCAR format:
```
BaCoHg
1.0
0.000 3.507 3.507
3.507 0.000 3.507
3.507 3.507 0.000
Ba Co Hg
1 1 1
Cartesian
1.754 1.754 1.754
0.000 0.000 0.000
5.260 5.260 5.260
```

The value obtained for the energy is -8.3 eV for the cell shown.

=====

[11]
First-principles (PBE) data for an optimized crystal structure of BaCoHgS3, as listed in OQMD via LeMat-Bulk.

The structure in POSCAR format:
```
BaCoHgS3
1.0
-6.628 1.976 -1.902
-6.795 1.093 2.022
2.211 9.583 2.250
Ba Co Hg S
2 2 2 6
Cartesian
-2.641 3.126 0.591
-8.570 9.526 1.779
0.000 0.000 0.000
1.105 4.791 1.125
-6.473 4.002 0.625
-4.738 8.650 1.745
-8.244 2.295 0.166
-11.690 5.195 0.672
-7.319 6.307 1.108
-3.893 6.345 1.262
0.479 7.457 1.698
-2.968 10.356 2.204
```

The relative energy among the computed polymorphs comes out at 0.168 eV per atom.

=====

[12]
First-principles (PBE) data for an optimized crystal structure of BaCoHgS3, as listed in OQMD via LeMat-Bulk.

The structure in POSCAR format:
```
BaCoHgS3
1.0
6.585 -2.026 0.000
6.585 2.026 0.000
0.000 0.000 10.703
Ba Co Hg S
2 2 2 6
Cartesian
9.746 0.000 2.676
3.423 0.000 8.027
6.079 0.000 2.676
7.091 0.000 8.027
0.000 0.000 0.000
0.000 0.000 5.351
4.828 0.000 0.794
0.690 0.000 2.676
4.828 0.000 4.557
8.341 0.000 6.145
12.480 0.000 8.027
8.341 0.000 9.909
```

The relative energy among the computed polymorphs comes out at 0.000 eV per atom.

=====

Calculated values (μB/f.u.) of total magnetic moment for the records, taken in order: 0.02 2.10 0.73 0.35 1.99 0.05 1.38 0.01 0.02 0.86 3.00 3.00.